# Ca2CoF6 PBE with a Hubbard U optimized geometry
data_Ca2CoF6
_cell_length_a 4.1511
_cell_length_b 4.1511
_cell_length_c 8.6296
_cell_angle_alpha 103.92
_cell_angle_beta 103.92
_cell_angle_gamma 90.00
_symmetry_space_group_name_H-M 'P 1'
_symmetry_Int_Tables_number 1
loop_
_symmetry_equiv_pos_as_xyz
'x,y,z'
loop_
_atom_site_label
_atom_site_fract_x
_atom_site_fract_y
_atom_site_fract_z
_atom_site_occupancy
Ca1 0.1758 0.1758 0.3516 1
Ca2 0.8242 0.8242 0.6484 1
Co1 0.5000 0.5000 0.0000 1
F1 0.6530 0.6530 0.8342 1
F2 0.1812 0.1812 0.8342 1
F3 0.7500 0.2500 0.5000 1
F4 0.8188 0.3470 0.1658 1
F5 0.3470 0.8188 0.1658 1
F6 0.2500 0.7500 0.5000 1
# DFT total energy	-49.20	eV/f.u.
# energy above the lowest structure with this stoichiometry	71	meV per atom
# volume	15.538	Å³/atom
# symmetry	No. 121